No. 1
{
  "formula": "BaLiCaHg2",
  "functional": "GGA-PBE",
  "state": "optimized geometry",
  "lattice_angstrom": [[4.5103, 0.0000, 0.0000], [-2.2552, 3.9061, 0.0000], [0.0000, 0.0000, 9.7726]],
  "species": ["Hg", "Hg", "Li", "Ca", "Ba"],
  "frac_coords": [[0.3333, 0.6667, 0.2277], [0.6667, 0.3333, 0.7366], [0.3333, 0.6667, 0.6451], [0.6667, 0.3333, 0.4071], [0.0000, 0.0000, 0.9835]],
  "formation_energy_ev_per_fu": -1.46,
  "magmom_total_mub_per_cell": 0.00
}

---

No. 2
{
  "formula": "Cs2InAgHg",
  "functional": "GGA-PBE",
  "state": "optimized geometry",
  "lattice_angstrom": [[7.0857, 0.0000, 0.0000], [0.0000, 7.0857, 0.0000], [0.0000, 0.0000, 5.3229]],
  "species": ["Cs", "Cs", "Hg", "Ag", "In"],
  "frac_coords": [[0.5000, 0.0000, 0.0000], [0.0000, 0.5000, 0.0000], [0.5000, 0.5000, 0.5000], [0.0000, 0.0000, 0.0000], [0.0000, 0.0000, 0.5000]],
  "formation_energy_ev_per_fu": 0.10,
  "magmom_total_mub_per_cell": 0.00
}

---

No. 3
{
  "formula": "PmPr5Nd3",
  "functional": "GGA-PBE",
  "state": "optimized geometry",
  "lattice_angstrom": [[-7.6196, 2.8921, -6.3713], [-10.2669, -0.8510, 0.9386], [-8.9127, 8.6019, 1.1768]],
  "species": ["Pr", "Pr", "Pr", "Pr", "Pr", "Pr", "Pr", "Pr", "Pr", "Pr", "Nd", "Nd", "Nd", "Nd", "Nd", "Nd", "Pm", "Pm"],
  "frac_coords": [[0.1572, 0.1572, 0.0416], [0.5580, 0.5580, 0.2976], [0.8428, 0.8428, 0.9584], [0.6843, 0.3157, 0.0000], [0.4420, 0.4420, 0.7024], [0.3157, 0.6843, 0.0000], [0.0951, 0.4806, 0.6522], [0.4806, 0.0951, 0.6522], [0.9049, 0.5194, 0.3478], [0.5194, 0.9049, 0.3478], [0.0000, 0.0000, 0.0000], [0.0000, 0.0000, 0.5000], [0.3600, 0.3600, 0.3301], [0.6400, 0.6400, 0.6699], [0.2937, 0.2937, 0.1127], [0.7063, 0.7063, 0.8873], [0.1117, 0.1117, 0.6456], [0.8883, 0.8883, 0.3544]],
  "formation_energy_ev_per_fu": 3.22,
  "e_above_lowest_polymorph_ev_per_atom": 0.107,
  "magmom_total_mub_per_cell": 0.00
}

---

No. 4
{
  "formula": "Fe2Co2Mo",
  "functional": "GGA-PBE",
  "state": "optimized geometry",
  "lattice_angstrom": [[-6.3222, 1.3010, 2.0722], [-1.4032, -6.6314, -0.1176], [0.7593, -0.2040, 2.4446]],
  "species": ["Fe", "Fe", "Fe", "Fe", "Co", "Co", "Co", "Co", "Mo", "Mo"],
  "frac_coords": [[0.6225, 0.1225, 0.0000], [0.3775, 0.8775, 0.0000], [0.8775, 0.6225, 0.0000], [0.1225, 0.3775, 0.0000], [0.8268, 0.3268, 0.5000], [0.6732, 0.8268, 0.5000], [0.1732, 0.6732, 0.5000], [0.3268, 0.1732, 0.5000], [0.5000, 0.5000, 0.0000], [0.0000, 0.0000, 0.0000]],
  "formation_energy_ev_per_fu": 0.87,
  "e_above_lowest_polymorph_ev_per_atom": 0.000,
  "magmom_total_mub_per_cell": 9.06
}

---

No. 5
{
  "formula": "Pm2Ho2Er3",
  "functional": "GGA-PBE",
  "state": "optimized geometry",
  "lattice_angstrom": [[-4.8362, -3.6176, 5.8292], [2.0952, -5.6791, -5.8151], [6.9565, 3.0069, 3.6086]],
  "species": ["Er", "Er", "Er", "Er", "Er", "Er", "Ho", "Ho", "Ho", "Ho", "Pm", "Pm", "Pm", "Pm"],
  "frac_coords": [[0.4433, 0.1933, 0.7500], [0.0567, 0.3067, 0.2500], [0.8067, 0.2500, 0.5567], [0.7500, 0.5567, 0.3067], [0.6933, 0.7500, 0.9433], [0.2500, 0.9433, 0.1933], [0.0000, 0.0000, 0.4138], [0.5000, 0.4138, 0.5000], [0.9138, 0.5000, 0.0000], [0.5862, 0.0862, 0.0862], [0.5000, 0.8120, 0.5000], [0.0000, 0.0000, 0.8120], [0.1880, 0.6880, 0.6880], [0.3120, 0.5000, 0.0000]],
  "formation_energy_ev_per_fu": 1.60,
  "e_above_lowest_polymorph_ev_per_atom": 0.105,
  "magmom_total_mub_per_cell": 0.00
}

---

No. 6
{
  "formula": "MnCdSi2",
  "functional": "GGA-PBE",
  "state": "optimized geometry",
  "lattice_angstrom": [[-1.3150, 0.2910, -2.5310], [1.5967, -2.1076, -1.0719], [-5.2215, -5.0407, 2.1332]],
  "species": ["Si", "Si", "Mn", "Cd"],
  "frac_coords": [[0.0000, 0.0000, 0.9244], [0.0000, 0.0000, 0.5756], [0.5000, 0.5000, 0.7500], [0.5000, 0.5000, 0.2500]],
  "magmom_total_mub_per_cell": 0.00,
  "e_form_raw_ev_per_atom": 0.126
}

---

No. 7
{
  "formula": "Tl3Zn5F12",
  "functional": "GGA-PBE",
  "state": "optimized geometry",
  "lattice_angstrom": [[-0.3278, 11.1902, -4.3105], [-9.5227, -6.1046, -3.9950], [-0.2017, 0.3260, 11.9900]],
  "species": ["F", "F", "F", "F", "F", "F", "F", "F", "F", "F", "F", "F", "F", "F", "F", "F", "F", "F", "F", "F", "F", "F", "F", "F", "F", "F", "F", "F", "F", "F", "F", "F", "F", "F", "F", "F", "F", "F", "F", "F", "F", "F", "F", "F", "F", "F", "F", "F", "Zn", "Zn", "Zn", "Zn", "Zn", "Zn", "Zn", "Zn", "Zn", "Zn", "Zn", "Zn", "Zn", "Zn", "Zn", "Zn", "Zn", "Zn", "Zn", "Zn", "Tl", "Tl", "Tl", "Tl", "Tl", "Tl", "Tl", "Tl", "Tl", "Tl", "Tl", "Tl"],
  "frac_coords": [[0.8996, 0.0810, 0.8980], [0.3980, 0.9984, 0.8170], [0.4190, 0.1020, 0.6004], [0.9190, 0.1004, 0.6020], [0.6830, 0.5810, 0.1814], [0.8170, 0.3186, 0.9190], [0.8980, 0.5810, 0.8996], [0.5810, 0.6830, 0.6814], [0.1814, 0.0810, 0.6830], [0.6814, 0.4984, 0.6004], [0.3186, 0.5016, 0.3996], [0.6020, 0.6004, 0.9190], [0.6830, 0.1020, 0.0016], [0.3980, 0.3996, 0.0810], [0.9984, 0.3980, 0.3170], [0.1020, 0.6830, 0.5016], [0.1830, 0.6814, 0.0810], [0.0810, 0.8996, 0.3980], [0.1004, 0.9190, 0.1020], [0.3170, 0.4190, 0.8186], [0.9984, 0.6004, 0.1814], [0.8980, 0.3170, 0.4984], [0.6004, 0.6020, 0.4190], [0.8996, 0.8186, 0.5016], [0.5016, 0.3186, 0.8996], [0.5016, 0.1830, 0.1020], [0.0016, 0.6020, 0.6830], [0.3996, 0.0016, 0.3186], [0.4190, 0.3170, 0.3186], [0.1814, 0.1004, 0.9984], [0.5810, 0.8980, 0.3996], [0.6020, 0.0016, 0.1830], [0.3170, 0.8980, 0.9984], [0.4984, 0.6814, 0.1004], [0.3996, 0.3980, 0.5810], [0.1004, 0.1814, 0.4984], [0.8186, 0.9190, 0.3170], [0.8186, 0.8996, 0.0016], [0.8170, 0.4984, 0.3980], [0.1830, 0.5016, 0.6020], [0.0810, 0.1814, 0.1830], [0.9190, 0.8186, 0.8170], [0.4984, 0.8170, 0.8980], [0.3186, 0.8170, 0.4190], [0.6004, 0.9984, 0.6814], [0.6814, 0.1830, 0.5810], [0.1020, 0.4190, 0.1004], [0.0016, 0.3996, 0.8186], [0.5000, 0.0000, 0.5000], [0.3750, 0.1250, 0.7500], [0.5000, 0.0000, 0.0000], [0.7500, 0.1250, 0.8750], [0.1250, 0.7500, 0.3750], [0.2500, 0.8750, 0.1250], [0.5000, 0.5000, 0.0000], [0.8750, 0.6250, 0.7500], [0.8750, 0.2500, 0.6250], [0.5000, 0.5000, 0.5000], [0.2500, 0.3750, 0.6250], [0.3750, 0.2500, 0.1250], [0.0000, 0.5000, 0.0000], [0.0000, 0.0000, 0.0000], [0.0000, 0.5000, 0.5000], [0.7500, 0.6250, 0.3750], [0.6250, 0.7500, 0.8750], [0.1250, 0.3750, 0.2500], [0.0000, 0.0000, 0.5000], [0.6250, 0.8750, 0.2500], [0.1250, 0.8750, 0.7500], [0.2500, 0.1250, 0.3750], [0.1250, 0.2500, 0.8750], [0.7500, 0.8750, 0.6250], [0.8750, 0.1250, 0.2500], [0.6250, 0.3750, 0.7500], [0.7500, 0.3750, 0.1250], [0.8750, 0.7500, 0.1250], [0.3750, 0.6250, 0.2500], [0.6250, 0.2500, 0.3750], [0.2500, 0.6250, 0.8750], [0.3750, 0.7500, 0.6250]],
  "magmom_total_mub_per_cell": 0.00,
  "e_form_raw_ev_per_atom": -2.011
}

---

No. 8
{
  "formula": "BaRuCl2",
  "functional": "GGA-PBE",
  "state": "optimized geometry",
  "lattice_angstrom": [[3.6108, 0.2918, 0.0000], [-0.2838, 3.6114, 0.0000], [0.0000, 0.0000, 8.0644]],
  "species": ["Ba", "Ru", "Cl", "Cl"],
  "frac_coords": [[0.5000, 0.5000, 0.7461], [0.0000, 0.0000, 0.4274], [0.5000, 0.5000, 0.3640], [0.0000, 0.0000, 0.9626]],
  "e_above_lowest_polymorph_ev_per_atom": 0.292,
  "magmom_total_mub_per_cell": 1.33,
  "e_form_raw_ev_per_atom": -0.481
}

---

No. 9
{
  "formula": "Zr2TcPt",
  "functional": "GGA-PBE",
  "state": "optimized geometry",
  "lattice_angstrom": [[-2.5647, 2.3654, -2.4713], [-3.1556, -0.4431, 2.8507], [-0.0845, 8.3864, 4.4162]],
  "species": ["Zr", "Zr", "Zr", "Zr", "Tc", "Tc", "Pt", "Pt"],
  "frac_coords": [[0.8750, 0.8696, 0.7500], [0.1304, 0.6250, 0.2500], [0.6196, 0.1250, 0.2500], [0.3750, 0.3804, 0.7500], [0.2500, 0.7500, 0.5000], [0.5000, 0.5000, 0.0000], [0.7500, 0.2500, 0.5000], [0.0000, 0.0000, 0.0000]],
  "formation_energy_ev_per_fu": 0.89,
  "magmom_total_mub_per_cell": 2.02
}

---

No. 10
{
  "formula": "Y2ScPbS",
  "functional": "GGA-PBE",
  "state": "optimized geometry",
  "lattice_angstrom": [[-1.1459, 1.1896, 4.9510], [-4.7572, -2.0597, -0.6061], [1.6740, -4.2833, 1.4166]],
  "species": ["Y", "Y", "S", "Sc", "Pb"],
  "frac_coords": [[0.0000, 0.5000, 0.0000], [0.5000, 0.0000, 0.0000], [0.0000, 0.0000, 0.0000], [0.0000, 0.0000, 0.5000], [0.5000, 0.5000, 0.5000]],
  "magmom_total_mub_per_cell": 0.00,
  "e_form_raw_ev_per_atom": -0.878
}

---

No. 11
{
  "formula": "TiI2Cl",
  "functional": "GGA-PBE",
  "state": "optimized geometry",
  "lattice_angstrom": [[-1.4223, -0.6449, -3.3770], [-4.8927, -3.8295, 2.7919], [-1.5089, 7.1014, -0.7206]],
  "species": ["I", "I", "Cl", "Ti"],
  "frac_coords": [[0.5000, 0.6280, 0.3393], [0.0000, 0.9356, 0.9213], [0.5000, 0.3641, 0.6444], [0.0000, 0.5723, 0.5949]],
  "e_above_lowest_polymorph_ev_per_atom": 0.000,
  "magmom_total_mub_per_cell": 1.00,
  "e_form_raw_ev_per_atom": -0.949
}

---

No. 12
{
  "formula": "KRbZrV2",
  "functional": "GGA-PBE",
  "state": "optimized geometry",
  "lattice_angstrom": [[-0.5878, 1.4310, -5.1320], [-4.5180, -3.0378, -0.3296], [-2.9448, 4.2155, 1.5128]],
  "species": ["Zr", "V", "V", "Rb", "K"],
  "frac_coords": [[0.5000, 0.5000, 0.5000], [0.0000, 0.0000, 0.5000], [0.5000, 0.0000, 0.0000], [0.0000, 0.5000, 0.0000], [0.0000, 0.0000, 0.0000]],
  "formation_energy_ev_per_fu": 11.49,
  "magmom_total_mub_per_cell": 5.74
}

---

Looking at DFT total energy for the records above, in order, we have -0.1162 -0.1102 -0.3244 -0.6041 -0.3228 -0.3754 -0.2798 -0.3090 -0.5992 -0.4629 -0.3057 -0.2552 Ry per atom.